## Mn2ZnBr (PBE-GGA)

Data for a relaxed structure of Mn2ZnBr.

Properties
SG: Pmmm, No. 47
DOS(E_F) (states/eV/cell): 2.89
Formation energy (no corrections) (meV per atom): 197
E_tot (eV/atom): -5.1242
Magnetization (μB per atom): 1.86
Offset from the most stable computed form (kJ/mol of formula units): 0
V (Å³/atom): 18.6

Unit cell a=3.190 b=3.363 c=6.918 alpha=89.98 beta=90.00 gamma=90.00
Last column: magnetic moment on the atom in μB.
Atoms (fractional coordinates):
Br1 0.500 0.750 0.750  0.04
Mn1 0.000 0.750 0.056  3.60
Mn2 0.000 0.750 0.444  3.60
Zn1 0.500 0.250 0.250  -0.11